1.
Nd4Y2Th3 GGA-PBE relaxed; energy of formation = 0.8 eV per formula unit; SG = P3m1; final energy = -5.9405 eV/atom
1.0
3.597 0.000 0.000
-1.798 3.115 0.000
0.000 0.000 27.141
Nd Y Th
4 2 3
direct
0.000 0.000 0.000 Nd
0.000 0.000 0.217 Nd
0.333 0.667 0.333 Nd
0.333 0.667 0.552 Nd
0.000 0.000 0.662 Y
0.000 0.000 0.875 Y
0.000 0.000 0.442 Th
0.333 0.667 0.108 Th
0.333 0.667 0.770 Th

***

2.
Nd12YTh5 GGA-PBE relaxed; energy of formation = 0.6 eV per formula unit; SG = Cmmm; final energy = -5.5631 eV/atom
1.0
7.696 -7.780 0.000
7.696 7.780 0.000
0.000 0.000 5.142
Nd Y Th
12 1 5
direct
0.008 0.325 0.500 Nd
0.157 0.843 0.000 Nd
0.173 0.493 0.000 Nd
0.325 0.008 0.500 Nd
0.337 0.663 0.500 Nd
0.493 0.173 0.000 Nd
0.507 0.827 0.000 Nd
0.663 0.337 0.500 Nd
0.675 0.992 0.500 Nd
0.827 0.507 0.000 Nd
0.843 0.157 0.000 Nd
0.992 0.675 0.500 Nd
0.500 0.500 0.000 Y
0.000 0.000 0.500 Th
0.168 0.168 0.000 Th
0.334 0.334 0.500 Th
0.666 0.666 0.500 Th
0.832 0.832 0.000 Th

***

3.
Nd2Y5Th2 GGA-PBE relaxed; energy of formation = 2.4 eV per formula unit; SG = C2/m; final energy = -6.0349 eV/atom
1.0
11.338 -1.750 0.000
11.338 1.750 0.000
-1.406 0.000 8.061
Nd Y Th
2 5 2
direct
0.173 0.173 0.152 Nd
0.827 0.827 0.848 Nd
0.000 0.000 0.000 Y
0.090 0.090 0.728 Y
0.308 0.308 0.453 Y
0.692 0.692 0.547 Y
0.910 0.910 0.272 Y
0.448 0.448 0.646 Th
0.552 0.552 0.354 Th

***

4.
NdY5Th GGA-PBE relaxed; energy of formation = 1.4 eV per formula unit; SG = C2/c; final energy = -6.1617 eV/atom
1.0
3.099 -8.846 0.000
3.099 8.846 0.000
-1.910 0.000 8.567
Nd Y Th
2 10 2
direct
0.012 0.988 0.750 Nd
0.988 0.012 0.250 Nd
0.039 0.725 0.040 Y
0.111 0.484 0.354 Y
0.275 0.961 0.460 Y
0.353 0.647 0.750 Y
0.484 0.111 0.854 Y
0.516 0.889 0.146 Y
0.647 0.353 0.250 Y
0.725 0.039 0.540 Y
0.889 0.516 0.646 Y
0.961 0.275 0.960 Y
0.500 0.500 0.000 Th
0.500 0.500 0.500 Th

***

5.
Nd3Y6Th GGA-PBE relaxed; energy above the lowest structure with this stoichiometry = 0.0000 eV/atom; energy of formation = 1.6 eV per formula unit; SG = Cmc2_1; final energy = -5.8923 eV/atom
1.0
5.623 -9.558 0.000
5.623 9.558 0.000
0.000 0.000 6.338
Nd Y Th
6 12 2
direct
0.112 0.888 0.500 Nd
0.214 0.438 0.112 Nd
0.438 0.214 0.612 Nd
0.562 0.786 0.112 Nd
0.786 0.562 0.612 Nd
0.888 0.112 0.000 Nd
0.037 0.456 0.693 Y
0.119 0.209 0.526 Y
0.209 0.119 0.026 Y
0.226 0.774 0.921 Y
0.454 0.546 0.671 Y
0.456 0.037 0.193 Y
0.544 0.963 0.693 Y
0.546 0.454 0.171 Y
0.774 0.226 0.421 Y
0.791 0.881 0.526 Y
0.881 0.791 0.026 Y
0.963 0.544 0.193 Y
0.295 0.705 0.424 Th
0.705 0.295 0.924 Th

***

6.
Nd2Y5Th GGA-PBE relaxed; energy above the lowest structure with this stoichiometry = 0.0000 eV/atom; energy of formation = 0.2 eV per formula unit; SG = Pbam; final energy = -6.1310 eV/atom
1.0
7.187 0.000 0.000
0.000 14.410 0.000
0.000 0.000 5.111
Nd Y Th
4 10 2
direct
0.248 0.123 0.000 Nd
0.252 0.623 0.000 Nd
0.748 0.377 0.000 Nd
0.752 0.877 0.000 Nd
0.000 0.500 0.500 Y
0.006 0.248 0.500 Y
0.241 0.878 0.000 Y
0.259 0.378 0.000 Y
0.494 0.748 0.500 Y
0.500 0.000 0.500 Y
0.506 0.252 0.500 Y
0.741 0.622 0.000 Y
0.759 0.122 0.000 Y
0.994 0.752 0.500 Y
0.000 0.000 0.500 Th
0.500 0.500 0.500 Th

***

7.
Nd4YTh GGA-PBE relaxed; energy above the lowest structure with this stoichiometry = 0.5922 eV/atom; energy of formation = 3.8 eV per formula unit; SG = Cmmm; final energy = -4.8641 eV/atom
1.0
11.774 0.000 0.000
0.000 12.067 0.000
0.000 0.000 3.465
Nd Y Th
8 2 2
direct
0.000 0.235 0.000 Nd
0.000 0.765 0.000 Nd
0.236 0.500 0.500 Nd
0.264 0.000 0.500 Nd
0.500 0.265 0.000 Nd
0.500 0.735 0.000 Nd
0.736 0.000 0.500 Nd
0.764 0.500 0.500 Nd
0.000 0.000 0.500 Y
0.500 0.500 0.500 Y
0.000 0.500 0.000 Th
0.500 0.000 0.000 Th

***

8.
Nd9Y2Th GGA-PBE relaxed; energy of formation = 0.4 eV per formula unit; SG = P4/mmm; final energy = -5.2415 eV/atom
1.0
5.168 0.000 0.000
0.000 5.168 0.000
0.000 0.000 15.498
Nd Y Th
9 2 1
direct
0.000 0.000 0.000 Nd
0.000 0.000 0.335 Nd
0.000 0.000 0.665 Nd
0.000 0.500 0.164 Nd
0.000 0.500 0.500 Nd
0.000 0.500 0.836 Nd
0.500 0.000 0.164 Nd
0.500 0.000 0.500 Nd
0.500 0.000 0.836 Nd
0.500 0.500 0.334 Y
0.500 0.500 0.666 Y
0.500 0.500 0.000 Th

***

Among the records above, which one has the lowest final energy? NdY5Th

***

Which of these has the highest final energy? Nd4YTh

***

Look up the energy of formation of the first one. 0.8 eV per formula unit

***

Among the records above, which one has the highest energy of formation? Nd4YTh